Record 1
The following is a DFT calculation (GGA-PBE) of crystalline KHO2 at its relaxed geometry.

Cell: 2.9639 2.9639 18.2692 Å, 90.00 90.00 120.00°
Space group R-3m (No. 166, hexagonal axes)
One atom of each set of equivalent atoms:
K 0.0000 0.0000 0.0000 [3 per cell]
H 0.0000 0.0000 0.5000 [3 per cell]
O 0.0000 0.0000 0.1263 [6 per cell]

raw total energy	-2.805	eV/atom
energy above the most stable polymorph in this dataset	1.674	eV per atom

***

Record 2
The following is a DFT calculation (GGA-PBE) of crystalline KH2O2 at its relaxed geometry.

Cell: 6.598 7.912 5.254 Å, 90.00 126.74 90.00°
Space group C2/m (No. 12)
One atom of each set of equivalent atoms:
K 0.000 0.221 0.000 [4 per cell]
H 0.000 0.076 0.500 [4 per cell]
H 0.183 0.500 0.389 [4 per cell]
O 0.000 0.401 0.500 [4 per cell]
O 0.206 0.000 0.688 [4 per cell]

raw total energy	-4.351	eV/atom
energy above the most stable polymorph in this dataset	0.000	eV per atom

***

Record 3
The following is a DFT calculation (GGA-PBE) of crystalline K3HO2 at its relaxed geometry.

Cell: 6.526 10.863 3.709 Å, 90.00 90.00 90.00°
Space group Cmmm (No. 65)
One atom of each set of equivalent atoms:
K 0.000 0.000 0.000 [2 per cell]
K 0.000 0.358 0.000 [4 per cell]
H 0.000 0.500 0.500 [2 per cell]
O 0.192 0.500 0.500 [4 per cell]

raw total energy	-3.814	eV/atom
energy above the most stable polymorph in this dataset	0.055	eV per atom

***

Record 4
The following is a DFT calculation (GGA-PBE) of crystalline K2H2O3 at its relaxed geometry.

Cell: 12.144 4.285 3.699 Å, 90.00 98.37 90.00°
Space group C2/m (No. 12)
One atom of each set of equivalent atoms:
K 0.141 0.000 0.169 [4 per cell]
H 0.076 0.500 0.476 [4 per cell]
O 0.000 0.500 0.000 [2 per cell]
O 0.127 0.500 0.715 [4 per cell]

raw total energy	-4.372	eV/atom

***

Among the records above, which one has the lowest raw total energy? K2H2O3

***

raw total energy of number 1 (KHO2)? -2.805 eV/atom

***

Look up the raw total energy of the third one. -3.814 eV/atom